Compound: TlTeAs
Source: the Alexandria database
Functional: GGA-PBE
Structure: optimized geometry

The raw formation energy is 0.25 eV per atom. The energy above the most stable polymorph in this dataset comes out at 60 kJ/mol of formula units. Its final energy is -3.14 eV per atom.

The space group is F-43m (No. 216) and the conventional cell measures 7.2033, 7.2033 and 7.2033 Å, with angles of 90.00, 90.00 and 90.00 degrees. Symmetry generates all atoms from Tl at (0.0000, 0.0000, 0.0000), Te at (0.0000, 0.0000, 0.5000) and As at (0.2500, 0.2500, 0.7500).


Compound: Tm4Tl2TeAs
Source: the Alexandria database
Functional: GGA-PBE
Structure: optimized geometry

The raw formation energy is -0.80 eV per atom. Its final energy is -4.60 eV per atom.

The space group is P2/m (No. 10) and the conventional cell measures 7.0022, 4.0066 and 8.1734 Å, with angles of 90.00, 106.27 and 90.00 degrees. Symmetry generates all atoms from Tm at (0.2245, 0.0000, 0.2207), Tm at (0.2383, 0.5000, 0.7671), Tl at (0.0000, 0.0000, 0.5000), Tl at (0.5000, 0.5000, 0.5000), Te at (0.5000, 0.0000, 0.0000) and As at (0.0000, 0.5000, 0.0000).


Compound: U3Tl4Te8As
Source: the Alexandria database
Functional: GGA-PBE
Structure: optimized geometry

The raw formation energy is -0.40 eV per atom. Its final energy is -4.97 eV per atom.

The space group is R-3m (No. 166, hexagonal axes) and the conventional cell measures 8.7959, 8.7959 and 24.7783 Å, with angles of 90.00, 90.00 and 120.00 degrees. Symmetry generates all atoms from U at (0.0000, 0.5000, 0.0000), Tl at (0.0000, 0.0000, 0.5000), Tl at (0.0000, 0.5000, 0.5000), Te at (0.0000, 0.0000, 0.2605), Te at (0.0106, 0.5053, 0.7363) and As at (0.0000, 0.0000, 0.0000).


Compound: UTl3Te6As2
Source: the Alexandria database
Functional: GGA-PBE
Structure: optimized geometry

The raw formation energy is -0.23 eV per atom. Its final energy is -4.11 eV per atom.

The space group is C2/m (No. 12) and the conventional cell measures 7.5698, 13.0614 and 8.4561 Å, with angles of 90.00, 107.36 and 90.00 degrees. Symmetry generates all atoms from U at (0.0000, 0.0000, 0.0000), Tl at (0.0000, 0.1592, 0.5000), Tl at (0.0000, 0.5000, 0.5000), Te at (0.2170, 0.5000, 0.1988), Te at (0.2431, 0.1741, 0.2047) and As at (0.0000, 0.3334, 0.0000).


Compound: U2Tl3Te6As
Source: the Alexandria database
Functional: GGA-PBE
Structure: optimized geometry

The raw formation energy is -0.35 eV per atom. Its final energy is -4.78 eV per atom.

The space group is C2/m (No. 12) and the conventional cell measures 7.6214, 13.2820 and 8.5693 Å, with angles of 90.00, 107.59 and 90.00 degrees. Symmetry generates all atoms from U at (0.0000, 0.1637, 0.0000), Tl at (0.0000, 0.0000, 0.5000), Tl at (0.0000, 0.3257, 0.5000), Te at (0.2262, 0.3398, 0.2048), Te at (0.2478, 0.5000, 0.7850) and As at (0.0000, 0.5000, 0.0000).


Compound: Y4TlTe2As
Source: the Alexandria database
Functional: GGA-PBE
Structure: optimized geometry

The raw formation energy is -1.15 eV per atom. Its final energy is -6.05 eV per atom.

The space group is P2/m (No. 10) and the conventional cell measures 7.5483, 4.2336 and 7.5593 Å, with angles of 90.00, 108.57 and 90.00 degrees. Symmetry generates all atoms from Y at (0.2343, 0.0000, 0.2240), Y at (0.2457, 0.5000, 0.7632), Tl at (0.5000, 0.0000, 0.0000), Te at (0.0000, 0.0000, 0.5000), Te at (0.5000, 0.5000, 0.5000) and As at (0.0000, 0.5000, 0.0000).


Compound: Y6TlTe3As2
Source: the Alexandria database
Functional: GGA-PBE
Structure: optimized geometry

The raw formation energy is -1.28 eV per atom. Its final energy is -6.27 eV per atom.

The space group is C2/m (No. 12) and the conventional cell measures 18.8180, 4.2292 and 8.7431 Å, with angles of 90.00, 104.01 and 90.00 degrees. Symmetry generates all atoms from Y at (0.0078, 0.0000, 0.2504), Y at (0.1658, 0.5000, 0.1056), Y at (0.1744, 0.5000, 0.5669), Tl at (0.0000, 0.5000, 0.0000), Te at (0.0000, 0.5000, 0.5000), Te at (0.1658, 0.0000, 0.8316) and As at (0.1682, 0.0000, 0.3369).


Compound: TlZnTe3As
Source: the Alexandria database
Functional: GGA-PBE
Structure: optimized geometry

The raw formation energy is -0.23 eV per atom. Its final energy is -3.18 eV per atom.

The space group is P2_1/m (No. 11) and the conventional cell measures 9.1636, 4.2822 and 10.1147 Å, with angles of 90.00, 106.70 and 90.00 degrees. Symmetry generates all atoms from Tl at (0.1974, 0.2500, 0.2403), Zn at (0.0819, 0.2500, 0.6043), Te at (0.1166, 0.2500, 0.8763), Te at (0.2252, 0.7500, 0.5360), Te at (0.4549, 0.7500, 0.1528) and As at (0.3325, 0.7500, 0.8758).


Compound: Tm3Te12As5
Source: the Alexandria database
Functional: GGA-PBE
Structure: optimized geometry

The raw formation energy is -0.35 eV per atom. Its final energy is -4.07 eV per atom.

The space group is Ia-3d (No. 230) and the conventional cell measures 17.4351, 17.4351 and 17.4351 Å, with angles of 90.00, 90.00 and 90.00 degrees. Symmetry generates all atoms from Tm at (0.0000, 0.2500, 0.1250), Te at (0.0171, 0.0641, 0.6526), As at (0.0000, 0.0000, 0.0000) and As at (0.0000, 0.2500, 0.3750).


Compound: Tm6Te2As
Source: the Alexandria database
Functional: GGA-PBE
Structure: optimized geometry

The raw formation energy is -0.80 eV per atom. Its final energy is -5.00 eV per atom.

The space group is P2_1/c (No. 14) and the conventional cell measures 6.5014, 7.6124 and 11.6803 Å, with angles of 90.00, 120.26 and 90.00 degrees. Symmetry generates all atoms from Tm at (0.0962, 0.2006, 0.4539), Tm at (0.3043, 0.6666, 0.4480), Tm at (0.3917, 0.0266, 0.2372), Te at (0.1489, 0.1223, 0.7330) and As at (0.5000, 0.0000, 0.5000).


Compound: Tm3Te2As
Source: the Alexandria database
Functional: GGA-PBE
Structure: optimized geometry

The raw formation energy is -1.34 eV per atom. The energy above the most stable polymorph in this dataset comes out at 8 kJ/mol of formula units. Its final energy is -5.39 eV per atom.

The space group is Immm (No. 71) and the conventional cell measures 4.1719, 5.9327 and 12.9605 Å, with angles of 90.00, 90.00 and 90.00 degrees. Symmetry generates all atoms from Tm at (0.0000, 0.0000, 0.0000), Tm at (0.0000, 0.0000, 0.3571), Te at (0.0000, 0.5000, 0.3256) and As at (0.0000, 0.5000, 0.0000).


Compound: Tm3Te2As
Source: the Alexandria database
Functional: GGA-PBE
Structure: optimized geometry

The raw formation energy is -1.35 eV per atom. The energy above the most stable polymorph in this dataset comes out at 0 kJ/mol of formula units. Its final energy is -5.41 eV per atom.

The space group is C2/m (No. 12) and the conventional cell measures 7.2945, 12.6072 and 7.3916 Å, with angles of 90.00, 109.18 and 90.00 degrees. Symmetry generates all atoms from Tm at (0.2168, 0.0000, 0.2175), Tm at (0.2469, 0.1770, 0.7763), Te at (0.0000, 0.0000, 0.5000), Te at (0.0000, 0.3406, 0.5000), Te at (0.0000, 0.5000, 0.0000) and As at (0.0000, 0.1685, 0.0000).


Look up the raw formation energy of the ninth one. -0.35 eV per atom


Which value of raw formation energy does entry 7 give? -1.28 eV per atom


The highest raw formation energy belongs to which entry? TlTeAs